First-principles (PBE) data for a relaxed Pa3GeS6 crystal, as listed in Alexandria via LeMat-Bulk.

Cell and atoms, written as CIF:
```
data_Pa3GeS6
_chemical_formula_sum 'Pa12 Ge4 S24'
_cell_length_a 10.5957
_cell_length_b 12.8372
_cell_length_c 6.7226
_cell_angle_alpha 90.00
_cell_angle_beta 90.00
_cell_angle_gamma 90.00
_symmetry_space_group_name_H-M 'C m c 21'
_symmetry_Int_Tables_number 36
loop_
_symmetry_equiv_pos_as_xyz
'x,y,z'
'-x,-y,z+1/2'
'-x,y,z'
'x,-y,z+1/2'
'x+1/2,y+1/2,z'
'-x+1/2,-y+1/2,z+1/2'
'-x+1/2,y+1/2,z'
'x+1/2,-y+1/2,z+1/2'
loop_
_atom_site_label
_atom_site_fract_x
_atom_site_fract_y
_atom_site_fract_z
Pa1 0.0000 0.0988 0.0000
Pa2 0.1788 0.4019 0.1133
Ge1 0.0000 0.3465 0.5814
S1 0.0000 0.2659 0.2458
S2 0.0000 0.4902 0.8577
S3 0.1621 0.0394 0.3067
S4 0.1750 0.2300 0.8385
```

Properties
The value obtained for the density is 6.96 g/cm3. The calculation puts the size of the total moment at 0.2655 μB/atom. As for the energy relative to the elements, uncorrected: -1.306 eV per atom. The volume is 914.4 Å³ per cell. For the density of states at the Fermi level, the calculation gives 1.271 states/eV/atom. The total energy is -283.7 eV for the cell shown.

=====

First-principles (PBE) data for a relaxed CsSb2F7 crystal, as listed in Alexandria via LeMat-Bulk.

Cell and atoms, written as CIF:
```
data_CsSb2F7
_chemical_formula_sum 'Cs4 Sb8 F28'
_cell_length_a 19.9591
_cell_length_b 6.8264
_cell_length_c 5.7909
_cell_angle_alpha 90.00
_cell_angle_beta 92.45
_cell_angle_gamma 90.00
_symmetry_space_group_name_H-M 'C 1 2/c 1'
_symmetry_Int_Tables_number 15
loop_
_symmetry_equiv_pos_as_xyz
'x,y,z'
'-x,-y,-z'
'-x,y,-z+1/2'
'x,-y,z+1/2'
'x+1/2,y+1/2,z'
'-x+1/2,-y+1/2,-z'
'-x+1/2,y+1/2,-z+1/2'
'x+1/2,-y+1/2,z+1/2'
loop_
_atom_site_label
_atom_site_fract_x
_atom_site_fract_y
_atom_site_fract_z
Cs1 0.2500 0.2500 0.0000
Sb1 0.0844 0.2332 0.4497
F1 0.0000 0.0792 0.2500
F2 0.0771 0.3977 0.1667
F3 0.1328 0.0259 0.2764
F4 0.1790 0.3385 0.4932
```

Properties
For the energy relative to the lowest polymorph listed for this composition, the calculation gives 0 meV per atom. The value obtained for the density is 4.29 g/cm3. The calculation puts the size of the total moment at 0.0000 μB/atom. As for the energy relative to the elements, uncorrected: -2.519 eV per atom. The volume is 788.3 Å³ per cell. For the density of states at the Fermi level, the calculation gives 0.000 states/eV/atom. The total energy is -189.6 eV for the cell shown.

=====

First-principles (PBE) data for a relaxed PmMnCu2 crystal, as listed in Alexandria via LeMat-Bulk.

Cell and atoms, written as CIF:
```
data_PmMnCu2
_chemical_formula_sum 'Pm3 Mn3 Cu6'
_cell_length_a 4.3010
_cell_length_b 4.3010
_cell_length_c 14.1517
_cell_angle_alpha 90.00
_cell_angle_beta 90.00
_cell_angle_gamma 120.00
_symmetry_space_group_name_H-M 'R -3 m'
_symmetry_Int_Tables_number 166
_symmetry_space_group_name_Hall '-R 3 2"'
loop_
_atom_site_label
_atom_site_fract_x
_atom_site_fract_y
_atom_site_fract_z
Pm1 0.0000 0.0000 0.0000
Mn1 0.0000 0.0000 0.5000
Cu1 0.0000 0.0000 0.2024
```

Properties
The value obtained for the density is 7.19 g/cm3. The calculation puts the size of the total moment at 0.8911 μB/atom. The volume is 226.7 Å³ per cell. For the density of states at the Fermi level, the calculation gives 0.791 states/eV/atom. The total energy is -66.5 eV for the cell shown. Its formation energy from the elements is -0.016 eV per atom.

=====

First-principles (PBE) data for a relaxed Sr5Li5Au2 crystal, as listed in Alexandria via LeMat-Bulk.

Cell and atoms, written as CIF:
```
data_Sr5Li5Au2
_chemical_formula_sum 'Sr10 Li10 Au4'
_cell_length_a 17.3696
_cell_length_b 4.6089
_cell_length_c 13.0221
_cell_angle_alpha 90.00
_cell_angle_beta 131.73
_cell_angle_gamma 90.00
_symmetry_space_group_name_H-M 'C 1 2/m 1'
_symmetry_Int_Tables_number 12
loop_
_symmetry_equiv_pos_as_xyz
'x,y,z'
'-x,-y,-z'
'-x,y,-z'
'x,-y,z'
'x+1/2,y+1/2,z'
'-x+1/2,-y+1/2,-z'
'-x+1/2,y+1/2,-z'
'x+1/2,-y+1/2,z'
loop_
_atom_site_label
_atom_site_fract_x
_atom_site_fract_y
_atom_site_fract_z
Sr1 0.0000 0.0000 0.0000
Sr2 0.1217 0.5000 0.8283
Sr3 0.2002 0.5000 0.5777
Li1 0.0000 0.0000 0.5000
Li2 0.0634 0.0000 0.3146
Li3 0.2146 0.5000 0.1710
Au1 0.1093 0.5000 0.2602
```

Properties
The value obtained for the density is 3.70 g/cm3. The calculation puts the size of the total moment at 0.0000 μB/atom. The volume is 777.9 Å³ per cell. For the density of states at the Fermi level, the calculation gives 0.676 states/eV/atom. The total energy is -55.4 eV for the cell shown. Its formation energy from the elements is -0.264 eV per atom.

=====

Q: Among the records above, which one has the lowest density?
A: Sr5Li5Au2